A relaxed InIrPb crystal. Source: Alexandria, functional PBE-GGA.

As for the total energy: -0.1751 Ha/atom. The calculation puts the calculated volume at 22.3 Å³ per atom. Its energy relative to the elements is 338 meV per atom.

It has space group P-6m2 (No. 187), with a = 4.7378 Å, b = 4.7378 Å, c = 3.4396 Å, α = 90.00°, β = 90.00° and γ = 120.00°. The inequivalent atoms are In at (0.0000, 0.0000, 0.0000), Ir at (0.3333, 0.6667, 0.0000) and Pb at (0.6667, 0.3333, 0.5000).